First-principles (PBE) data for a relaxed structure of PrY2Cu, as listed in Alexandria.

abc: 3.694 3.694 10.135
angles: 79.50 79.50 60.00
Fractional positions:
Cu  0.000  0.000  0.000
Pr  0.500  0.500  0.500
Y  0.268  0.268  0.195
Y  0.732  0.732  0.805

Properties
* SG: R-3m, No. 166
* total energy: -5.427 eV/atom
* energy relative to the elements: 0.1 eV per formula unit
* DOS at the Fermi energy: 1.476 states/eV per atom